1.
The following is a DFT calculation (GGA-PBE) of a geometry-optimized PaTc2Sn structure.

Unit cell a=4.5731 b=4.5731 c=3.5562 alpha=90.00 beta=90.00 gamma=90.00
Closest atoms and distances in Å follow each position.
Fractional coordinates of all 4 atoms:
Pa: 0.0000 0.0000 0.0000  8 Tc 2.90, 4 Sn 3.23
Tc: 0.0000 0.5000 0.5000  4 Pa 2.90, 4 Sn 2.90, 4 Tc 3.23
Tc: 0.5000 0.0000 0.5000  4 Pa 2.90, 4 Sn 2.90, 4 Tc 3.23
Sn: 0.5000 0.5000 0.0000  8 Tc 2.90, 4 Pa 3.23

Results
Energy relative to the elements in eV per atom: -0.30
ΔE to the lowest computed polymorph in eV per formula unit: 0.00

2.
The following is a DFT calculation (GGA-PBE) of a geometry-optimized Ca2Er2Hg3 structure.

Unit cell a=8.9624 b=8.9624 c=8.9624 alpha=34.07 beta=34.07 gamma=34.07
Closest atoms and distances in Å follow each position.
Fractional coordinates of all 7 atoms:
Ca: 0.1226 0.1226 0.1226  7 Hg 3.23-3.39
Ca: 0.8774 0.8774 0.8774  7 Hg 3.23-3.39
Er: 0.3752 0.3752 0.3752  5 Hg 3.00-3.16
Er: 0.6248 0.6248 0.6248  5 Hg 3.00-3.16
Hg: 0.2567 0.2567 0.2567  4 Er 3.00-3.16, 3 Ca 3.25
Hg: 0.5000 0.5000 0.5000  2 Er 3.16, 6 Ca 3.23
Hg: 0.7433 0.7433 0.7433  4 Er 3.00-3.16, 3 Ca 3.25

Results
Energy relative to the elements in eV per atom: -0.36

3.
The following is a DFT calculation (GGA-PBE) of a geometry-optimized CrTcPb2 structure.

Unit cell a=3.4781 b=4.4397 c=5.3695 alpha=90.00 beta=90.00 gamma=90.00
Closest atoms and distances in Å follow each position.
Fractional coordinates of all 4 atoms:
Cr: 0.0000 0.0000 0.0000  4 Pb 2.82
Tc: 0.5000 0.0000 0.5000  4 Pb 2.82
Pb: 0.0000 0.5000 0.5000  4 Tc 2.82
Pb: 0.5000 0.5000 0.0000  4 Cr 2.82

Results
Energy relative to the elements in eV per atom: 0.78
ΔE to the lowest computed polymorph in eV per formula unit: 1.81

4.
The following is a DFT calculation (GGA-PBE) of a geometry-optimized HoErTe3 structure.

Unit cell a=8.2647 b=8.2647 c=8.2647 alpha=55.06 beta=55.06 gamma=55.06
Closest atoms and distances in Å follow each position.
Fractional coordinates of all 10 atoms:
Ho: 0.1574 0.1574 0.1574  6 Te 3.05-3.09
Ho: 0.8426 0.8426 0.8426  6 Te 3.05-3.09
Er: 0.3422 0.3422 0.3422  6 Te 3.04-3.08
Er: 0.6578 0.6578 0.6578  6 Te 3.04-3.08
Te: 0.0649 0.7490 0.4353  2 Er 3.04-3.08, 2 Ho 3.05-3.09
Te: 0.2510 0.5647 0.9351  2 Er 3.04-3.08, 2 Ho 3.05-3.09
Te: 0.4353 0.0649 0.7490  2 Er 3.04-3.08, 2 Ho 3.05-3.09
Te: 0.5647 0.9351 0.2510  2 Er 3.04-3.08, 2 Ho 3.05-3.09
Te: 0.7490 0.4353 0.0649  2 Er 3.04-3.08, 2 Ho 3.05-3.09
Te: 0.9351 0.2510 0.5647  2 Er 3.04-3.08, 2 Ho 3.05-3.09

Results
ΔE_f (raw) in eV/atom: -1.349
ΔE to the lowest computed polymorph in eV per formula unit: 0.00

5.
The following is a DFT calculation (GGA-PBE) of a geometry-optimized AsOs structure.

Unit cell a=6.7822 b=6.7822 c=3.8294 alpha=90.00 beta=90.00 gamma=90.00
Closest atoms and distances in Å follow each position.
Fractional coordinates of all 8 atoms:
As: 0.2021 0.2021 0.0000  4 Os 2.38-2.42
As: 0.2979 0.7021 0.5000  4 Os 2.38-2.42
As: 0.7021 0.2979 0.5000  4 Os 2.38-2.42
As: 0.7979 0.7979 0.0000  4 Os 2.38-2.42
Os: 0.1506 0.8494 0.0000  4 As 2.38-2.42
Os: 0.3494 0.3494 0.5000  4 As 2.38-2.42
Os: 0.6506 0.6506 0.5000  4 As 2.38-2.42
Os: 0.8494 0.1506 0.0000  4 As 2.38-2.42

Results
Energy relative to the elements in eV per atom: 0.64

6.
The following is a DFT calculation (GGA-PBE) of a geometry-optimized SmHo2Zr3N6 structure.

Unit cell a=5.8062 b=5.8062 c=5.8679 alpha=99.53 beta=99.53 gamma=119.93
Closest atoms and distances in Å follow each position.
Fractional coordinates of all 12 atoms:
Sm: 0.0000 0.0000 0.0000  6 N 2.47-2.48
Ho: 0.3332 0.6668 0.0000  6 N 2.42-2.43
Ho: 0.6668 0.3332 0.0000  6 N 2.42-2.43
Zr: 0.1678 0.8322 0.5000  6 N 2.28-2.34
Zr: 0.5000 0.5000 0.5000  6 N 2.29-2.34
Zr: 0.8322 0.1678 0.5000  6 N 2.28-2.34
N: 0.0896 0.4300 0.2688  3 Zr 2.28-2.34, 2 Ho 2.42-2.43, 1 Sm 2.47
N: 0.2503 0.2503 0.7304  3 Zr 2.29-2.34, 2 Ho 2.43, 1 Sm 2.48
N: 0.4300 0.0896 0.2688  3 Zr 2.28-2.34, 2 Ho 2.42-2.43, 1 Sm 2.47
N: 0.5700 0.9104 0.7312  3 Zr 2.28-2.34, 2 Ho 2.42-2.43, 1 Sm 2.47
N: 0.7497 0.7497 0.2696  3 Zr 2.29-2.34, 2 Ho 2.43, 1 Sm 2.48
N: 0.9104 0.5700 0.7312  3 Zr 2.28-2.34, 2 Ho 2.42-2.43, 1 Sm 2.47

Results
ΔE_f (raw) in eV/atom: -1.698

7.
The following is a DFT calculation (GGA-PBE) of a geometry-optimized Li2CuMo structure.

Unit cell a=2.5571 b=2.5571 c=9.0542 alpha=90.00 beta=90.00 gamma=105.90
Closest atoms and distances in Å follow each position.
Fractional coordinates of all 4 atoms:
Li: 0.0000 0.0000 0.2339  4 Li 2.56, 2 Cu 2.62, 2 Mo 2.86
Li: 0.0000 0.0000 0.7661  4 Li 2.56, 2 Cu 2.62, 2 Mo 2.86
Cu: 0.5000 0.5000 0.0000  4 Cu 2.56, 4 Li 2.62
Mo: 0.5000 0.5000 0.5000  4 Mo 2.56, 4 Li 2.86

Results
Energy relative to the elements in eV per atom: 0.20
ΔE to the lowest computed polymorph in eV per formula unit: 0.02

8.
The following is a DFT calculation (GGA-PBE) of a geometry-optimized YMo structure.

Unit cell a=3.3578 b=16.0733 c=5.1229 alpha=90.00 beta=90.00 gamma=90.00
Closest atoms and distances in Å follow each position.
Fractional coordinates of all 12 atoms:
Y: 0.2500 0.0858 0.0051  5 Mo 2.85-3.13
Y: 0.2500 0.4142 0.0051  5 Mo 2.85-3.13
Y: 0.2500 0.7500 0.2967  6 Mo 3.00-3.28, 2 Y 3.36
Y: 0.7500 0.2500 0.7033  6 Mo 3.00-3.28, 2 Y 3.36
Y: 0.7500 0.5858 0.9949  5 Mo 2.85-3.13
Y: 0.7500 0.9142 0.9949  5 Mo 2.85-3.13
Mo: 0.2500 0.2500 0.2170  6 Y 2.85-3.12
Mo: 0.2500 0.5564 0.5012  2 Mo 2.47
Mo: 0.2500 0.9436 0.5012  2 Mo 2.47
Mo: 0.7500 0.0564 0.4988  2 Mo 2.47
Mo: 0.7500 0.4436 0.4988  2 Mo 2.47
Mo: 0.7500 0.7500 0.7830  6 Y 2.85-3.12

Results
Energy relative to the elements in eV per atom: 0.55
ΔE to the lowest computed polymorph in eV per formula unit: 0.83

9.
The following is a DFT calculation (GGA-PBE) of a geometry-optimized CaHoAlIn structure.

Unit cell a=5.2646 b=5.2646 c=5.2646 alpha=60.00 beta=60.00 gamma=60.00
Closest atoms and distances in Å follow each position.
Fractional coordinates of all 4 atoms:
Ca: 0.0000 0.0000 0.0000  4 In 3.22, 4 Al 3.22
Ho: 0.5000 0.5000 0.5000  4 In 3.22, 4 Al 3.22
Al: 0.2500 0.2500 0.2500  4 Ho 3.22, 4 Ca 3.22
In: 0.7500 0.7500 0.7500  4 Ho 3.22, 4 Ca 3.22

Results
Energy relative to the elements in eV per atom: -0.34

10.
The following is a DFT calculation (GGA-PBE) of a geometry-optimized MgSbCl2 structure.

Unit cell a=3.5535 b=5.2751 c=7.9956 alpha=90.00 beta=90.00 gamma=90.00
Closest atoms and distances in Å follow each position.
Fractional coordinates of all 4 atoms:
Mg: 0.0000 0.0000 0.0000  2 Cl 2.36
Sb: 0.0000 0.5000 0.8552  1 Cl 2.36
Cl: 0.0000 0.5000 0.5603  1 Sb 2.36
Cl: 0.5000 0.0000 0.1938  2 Mg 2.36

Results
ΔE_f (raw) in eV/atom: -0.825
ΔE to the lowest computed polymorph in eV per formula unit: 1.19

11.
The following is a DFT calculation (GGA-PBE) of a geometry-optimized CsNp6Te12 structure.

Unit cell a=9.1463 b=9.1463 c=9.1463 alpha=105.58 beta=105.58 gamma=105.58
Closest atoms and distances in Å follow each position.
Fractional coordinates of all 19 atoms:
Cs: 0.0000 0.0000 0.0000  6 Te 4.32
Np: 0.2584 0.2584 0.6670  7 Te 3.06-3.19
Np: 0.2584 0.6670 0.2584  7 Te 3.06-3.19
Np: 0.3330 0.7416 0.7416  7 Te 3.06-3.19
Np: 0.6670 0.2584 0.2584  7 Te 3.06-3.19
Np: 0.7416 0.3330 0.7416  7 Te 3.06-3.19
Np: 0.7416 0.7416 0.3330  7 Te 3.06-3.19
Te: 0.1283 0.5000 0.8717  4 Np 3.18-3.19
Te: 0.1283 0.8717 0.5000  4 Np 3.18-3.19
Te: 0.1728 0.4326 0.4326  3 Np 3.06
Te: 0.4326 0.1728 0.4326  3 Np 3.06
Te: 0.4326 0.4326 0.1728  3 Np 3.06
Te: 0.5000 0.1283 0.8717  4 Np 3.18-3.19
Te: 0.5000 0.8717 0.1283  4 Np 3.18-3.19
Te: 0.5674 0.5674 0.8272  3 Np 3.06
Te: 0.5674 0.8272 0.5674  3 Np 3.06
Te: 0.8272 0.5674 0.5674  3 Np 3.06
Te: 0.8717 0.1283 0.5000  4 Np 3.18-3.19
Te: 0.8717 0.5000 0.1283  4 Np 3.18-3.19

Results
ΔE_f (raw) in eV/atom: -0.553

12.
The following is a DFT calculation (GGA-PBE) of a geometry-optimized RbGeH2 structure.

Unit cell a=6.8262 b=6.8262 c=6.8262 alpha=135.83 beta=135.83 gamma=64.24
Closest atoms and distances in Å follow each position.
Fractional coordinates of all 8 atoms:
Rb: 0.3750 0.6250 0.7500  8 H 3.21
Rb: 0.6250 0.3750 0.2500  8 H 3.21
Ge: 0.1250 0.8750 0.2500  4 H 1.93
Ge: 0.8750 0.1250 0.7500  4 H 1.93
H: 0.0000 0.0000 0.0000  2 Ge 1.93
H: 0.0000 0.0000 0.5000  2 Ge 1.93
H: 0.0000 0.5000 0.0000  2 Ge 1.93
H: 0.5000 0.0000 0.5000  2 Ge 1.93

Results
ΔE to the lowest computed polymorph in eV per formula unit: 1.60

13.
The following is a DFT calculation (GGA-PBE) of a geometry-optimized GaCu2I structure.

Unit cell a=6.3683 b=6.3683 c=6.3683 alpha=118.75 beta=118.75 gamma=92.18
Closest atoms and distances in Å follow each position.
Fractional coordinates of all 8 atoms:
Ga: 0.0000 0.0000 0.0000  4 Cu 2.44
Ga: 0.7500 0.2500 0.5000  4 Cu 2.44
Cu: 0.0987 0.1250 0.4737  2 Ga 2.44, 2 I 2.66
Cu: 0.3750 0.9013 0.0263  2 Ga 2.44, 2 I 2.66
Cu: 0.6513 0.6250 0.5263  2 Ga 2.44, 2 I 2.66
Cu: 0.8750 0.3487 0.9737  2 Ga 2.44, 2 I 2.66
I: 0.2500 0.7500 0.5000  4 Cu 2.66
I: 0.5000 0.5000 0.0000  4 Cu 2.66

Results
ΔE_f (raw) in eV/atom: 0.286
ΔE to the lowest computed polymorph in eV per formula unit: 0.00

14.
The following is a DFT calculation (GGA-PBE) of a geometry-optimized SmAl3Rh structure.

Unit cell a=8.3526 b=5.4573 c=8.3805 alpha=90.00 beta=99.99 gamma=90.00
Closest atoms and distances in Å follow each position.
Fractional coordinates of all 20 atoms:
Sm: 0.1288 0.1189 0.2133  9 Al 3.03-3.36, 1 Rh 3.22
Sm: 0.1288 0.3811 0.7133  9 Al 3.03-3.36, 1 Rh 3.22
Sm: 0.8712 0.6189 0.2867  9 Al 3.03-3.36, 1 Rh 3.22
Sm: 0.8712 0.8811 0.7867  9 Al 3.03-3.36, 1 Rh 3.22
Al: 0.1419 0.6236 0.0526  4 Al 2.65-2.74, 1 Rh 2.88
Al: 0.1419 0.8764 0.5526  4 Al 2.65-2.74, 1 Rh 2.88
Al: 0.2950 0.6093 0.3573  3 Rh 2.54-2.70, 3 Al 2.65-2.81
Al: 0.2950 0.8907 0.8573  3 Rh 2.54-2.70, 3 Al 2.65-2.81
Al: 0.4014 0.1604 0.5586  3 Rh 2.52-2.80, 3 Al 2.66-2.81
Al: 0.4014 0.3396 0.0586  3 Rh 2.52-2.80, 3 Al 2.66-2.81
Al: 0.5986 0.6604 0.9414  3 Rh 2.52-2.80, 3 Al 2.66-2.81
Al: 0.5986 0.8396 0.4414  3 Rh 2.52-2.80, 3 Al 2.66-2.81
Al: 0.7050 0.1093 0.1427  3 Rh 2.54-2.70, 3 Al 2.65-2.81
Al: 0.7050 0.3907 0.6427  3 Rh 2.54-2.70, 3 Al 2.65-2.81
Al: 0.8581 0.1236 0.4474  4 Al 2.65-2.74, 1 Rh 2.88
Al: 0.8581 0.3764 0.9474  4 Al 2.65-2.74, 1 Rh 2.88
Rh: 0.4548 0.6505 0.6512  6 Al 2.52-2.80
Rh: 0.4548 0.8495 0.1512  6 Al 2.52-2.80
Rh: 0.5452 0.1505 0.8488  6 Al 2.52-2.80
Rh: 0.5452 0.3495 0.3488  6 Al 2.52-2.80

Results
Energy relative to the elements in eV per atom: -0.59
ΔE to the lowest computed polymorph in eV per formula unit: 0.00

15.
The following is a DFT calculation (GGA-PBE) of a geometry-optimized HgBi2Te2 structure.

Unit cell a=8.3182 b=8.3182 c=8.3182 alpha=105.28 beta=89.49 gamma=138.19
Closest atoms and distances in Å follow each position.
Fractional coordinates of all 10 atoms:
Hg: 0.2500 0.2500 0.0000  2 Hg 2.97, 4 Bi 3.26
Hg: 0.7500 0.7500 0.0000  2 Hg 2.97, 4 Bi 3.26
Bi: 0.1159 0.7460 0.8618  4 Te 3.13-3.20, 2 Hg 3.26
Bi: 0.3841 0.2460 0.6301  4 Te 3.13-3.20, 2 Hg 3.26
Bi: 0.6159 0.7540 0.3699  4 Te 3.13-3.20, 2 Hg 3.26
Bi: 0.8841 0.2540 0.1382  4 Te 3.13-3.20, 2 Hg 3.26
Te: 0.1384 0.3622 0.5007  4 Bi 3.13-3.20
Te: 0.3616 0.8622 0.2238  4 Bi 3.13-3.20
Te: 0.6384 0.1378 0.7762  4 Bi 3.13-3.20
Te: 0.8616 0.6378 0.4993  4 Bi 3.13-3.20

Results
ΔE_f (raw) in eV/atom: -0.014
ΔE to the lowest computed polymorph in eV per formula unit: 0.22

16.
The following is a DFT calculation (GGA-PBE) of a geometry-optimized ZrPtAu2 structure.

Unit cell a=5.0434 b=5.0434 c=5.0434 alpha=130.70 beta=130.70 gamma=72.29
Closest atoms and distances in Å follow each position.
Fractional coordinates of all 4 atoms:
Zr: 0.0000 0.0000 0.0000  4 Pt 2.93, 8 Au 2.93-2.97
Pt: 0.2500 0.7500 0.5000  4 Zr 2.93, 8 Au 2.93-2.97
Au: 0.5000 0.5000 0.0000  4 Pt 2.93, 4 Au 2.93, 4 Zr 2.97
Au: 0.7500 0.2500 0.5000  4 Zr 2.93, 4 Au 2.93, 4 Pt 2.97

Results
Energy relative to the elements in eV per atom: -0.59

Number 1: density 12185 kg/m3. Number 2: density 8380 kg/m3. Number 3: density 11303 kg/m3. Number 4: density 6721 kg/m3. Number 5: density 9998 kg/m3. Number 6: density 8600 kg/m3. Number 7: density 5056 kg/m3. Number 8: density 6661 kg/m3. Number 9: density 5581 kg/m3. Number 10: density 2404 kg/m3. Number 11: density 7761 kg/m3. Number 12: density 3491 kg/m3. Number 13: density 5782 kg/m3. Number 14: density 5901 kg/m3. Number 15: density 8196 kg/m3. Number 16: density 15671 kg/m3.